Here is a geometry-optimized AgPd3C structure from the Alexandria database. Energies are from PBE.

extended XYZ file:
```
5
Lattice="4.951 0.000 0.000 0.000 4.951 0.000 0.000 0.000 4.951" Properties=species:S:1:pos:R:3 pbc="T T T"
C 2.475 2.475 2.475
Ag 0.000 0.000 0.000
Pd 0.000 2.475 0.000
Pd 2.475 0.000 0.000
Pd 0.000 0.000 2.475
```

Magnetization, μB per formula unit: 1.3
Formation energy, kJ/mol of formula units: 1188
Calculated total energy, eV per cell: -15.34
ΔE to the lowest computed polymorph, kJ/mol of formula units: 1101.9
ρ, g/cm³: 6.0